1.
Here is an optimized crystal structure of BeHgS2N from Alexandria. Energies are from PBE.

relative energy among the computed polymorphs: 1077.4 meV/atom
calculated density: 4.490 g/cm3
formation energy without anion corrections: 833 kJ/mol of formula units

Cell and atoms, written as CIF:
```
data_BeHgS2N
_space_group_name_H-M_alt 'P 4/m m m'
_space_group_IT_number 123
_space_group_name_Hall '-P 4 2'
_cell_length_a 5.108
_cell_length_b 5.108
_cell_length_c 4.079
_cell_angle_alpha 90.00
_cell_angle_beta 90.00
_cell_angle_gamma 90.00
loop_
_atom_site_label
_atom_site_type_symbol
_atom_site_fract_x
_atom_site_fract_y
_atom_site_fract_z
Be1 Be 0.000 0.000 0.000
Hg1 Hg 0.500 0.500 0.500
S1 S 0.000 0.500 0.500
N1 N 0.500 0.500 0.000
```

***

2.
Here is an optimized crystal structure of LiTb3Pr4Se8 from Alexandria. Energies are from PBE.

calculated density: 6.805 g/cm3
formation energy without anion corrections: -2761 kJ/mol of formula units

Cell and atoms, written as CIF:
```
data_LiTb3Pr4Se8
_space_group_name_H-M_alt 'R -3 m'
_space_group_IT_number 166
_space_group_name_Hall '-R 3 2"'
_cell_length_a 8.2934
_cell_length_b 8.2934
_cell_length_c 20.6347
_cell_angle_alpha 90.00
_cell_angle_beta 90.00
_cell_angle_gamma 120.00
loop_
_atom_site_label
_atom_site_type_symbol
_atom_site_fract_x
_atom_site_fract_y
_atom_site_fract_z
Li1 Li 0.0000 0.0000 0.0000
Tb1 Tb 0.0000 0.5000 0.0000
Pr1 Pr 0.0000 0.0000 0.5000
Pr2 Pr 0.0000 0.5000 0.5000
Se1 Se 0.0000 0.0000 0.2550
Se2 Se 0.0065 0.5032 0.7435
```